1.
A relaxed LiZnAgGe crystal. Source: Alexandria, functional PBE.

The mass density comes out at 6.425 Mg/m³.

The structure belongs to space group I-4m2 (No. 119); the cell edges are 4.796, 4.796 and 5.682 Å and the angles 90.00°, 90.00° and 90.00°. The asymmetric unit holds Li at (0.000, 0.000, 0.000), Zn at (0.000, 0.500, 0.250), Ag at (0.000, 0.500, 0.750) and Ge at (0.000, 0.000, 0.500).

2.
A relaxed SmDy9Th2 crystal. Source: Alexandria, functional PBE.

The mass density comes out at 9.065 Mg/m³.

The structure belongs to space group P4/mmm (No. 123); the cell edges are 5.026, 5.026 and 15.059 Å and the angles 90.00°, 90.00° and 90.00°. The asymmetric unit holds Sm at (0.000, 0.000, 0.000), Dy at (0.000, 0.500, 0.169), Dy at (0.000, 0.500, 0.500), Dy at (0.500, 0.500, 0.000), Dy at (0.500, 0.500, 0.333) and Th at (0.000, 0.000, 0.334).

Formation enthalpy at 0 K per entry: -11.29; 2.98 kJ per mole of atoms
N(E_F) per entry: 1.64; 16.77 states/eV/cell